[1]
## Np2Ge5Pt3 (PBE)

Data for a relaxed Np2Ge5Pt3 crystal.

POSCAR file:
```
Np2Ge5Pt3
1.0
-1.454 -4.141 0.035
5.567 -1.925 3.520
-5.261 4.262 10.652
Np Pt Ge
4 6 10
Cartesian
-3.322 -1.094 7.790
-1.612 0.674 12.891
1.999 -0.649 6.306
0.413 -2.460 1.284
-0.082 -2.226 8.537
-1.406 0.539 5.455
0.858 -2.593 4.084
-3.453 -1.021 11.101
4.680 -1.604 4.607
-4.647 1.702 8.453
-2.579 0.988 9.865
-3.167 -1.176 4.557
3.014 -3.339 5.343
-5.715 -0.236 9.947
-0.771 -2.005 5.975
2.647 -0.904 3.045
-0.606 0.280 7.990
0.082 0.000 3.461
1.710 -0.520 9.551
-1.025 -1.875 10.875
```

The density of states at the Fermi level is 37.6 states/eV per cell. The total magnetic moment is 0.821 μB per atom. As for the energy of formation from the pure elements: -0.4593 eV/atom.



[2]
## NpGePt3 (PBE)

Data for a relaxed NpGePt3 crystal.

POSCAR file:
```
NpGePt3
1.0
5.416 0.032 0.000
-0.551 6.025 0.000
0.000 0.000 5.589
Pt Np Ge
6 2 2
Cartesian
3.386 2.707 4.192
1.636 0.974 5.579
1.636 0.974 2.805
3.228 5.083 0.010
1.478 3.349 1.397
3.228 5.083 2.784
4.219 2.080 1.397
0.646 3.976 4.192
-0.057 5.260 1.397
4.922 0.796 4.192
```

The density of states at the Fermi level is 21.8 states/eV per cell. For the energy above the most stable polymorph in this dataset, the calculation gives 0.000 eV/atom. The total magnetic moment is 0.735 μB per atom. As for the energy of formation from the pure elements: -0.5755 eV/atom.



[3]
## Np3Ge4Pt4 (PBE)

Data for a relaxed Np3Ge4Pt4 crystal.

POSCAR file:
```
Np3Ge4Pt4
1.0
-3.172 -1.237 -2.821
0.314 -3.617 1.232
-7.587 4.751 9.913
Ge Pt Np
4 4 3
Cartesian
-8.853 1.255 5.939
-5.807 -1.298 3.634
-1.592 -1.358 2.385
-4.638 1.196 4.691
-2.354 -2.189 0.141
-3.312 -0.914 4.125
-7.133 0.812 4.200
-8.091 2.086 8.184
-4.124 0.036 1.157
-6.320 -0.139 7.168
0.000 0.000 0.000
```

The density of states at the Fermi level is 32.2 states/eV per cell. For the energy above the most stable polymorph in this dataset, the calculation gives 0.021 eV/atom. The total magnetic moment is 1.051 μB per atom. As for the energy of formation from the pure elements: -0.4879 eV/atom.



[4]
## Np4Ge12Pt (PBE)

Data for a relaxed Np4Ge12Pt crystal.

POSCAR file:
```
Np4Ge12Pt
1.0
-2.308 -1.035 -7.067
-2.040 -5.887 4.186
-3.126 6.239 2.764
Np Ge Pt
4 12 1
Cartesian
-3.737 -0.342 -0.058
-1.563 3.119 1.382
-1.154 -0.518 -3.533
-1.020 -2.943 2.093
-3.670 -1.554 2.755
-4.008 2.690 -0.414
-3.941 1.477 2.400
-3.804 0.871 -2.871
-3.465 -3.373 0.297
-1.284 -2.044 -0.850
-3.064 -4.878 -2.030
-1.525 0.104 2.052
-1.604 1.536 -1.270
-3.641 0.248 4.898
-3.830 3.667 -3.032
-3.532 -2.160 -2.516
0.000 0.000 0.000
```

The density of states at the Fermi level is 37.0 states/eV per cell. The total magnetic moment is 0.923 μB per atom. As for the energy of formation from the pure elements: -0.1778 eV/atom.



[5]
## Np3Ge4Pt2 (PBE)

Data for a relaxed Np3Ge4Pt2 crystal.

POSCAR file:
```
Np3Ge4Pt2
1.0
4.316 0.000 0.000
-2.158 5.231 -1.425
0.000 -0.137 8.306
Pt Np Ge
2 3 4
Cartesian
0.000 3.852 4.767
2.158 1.242 2.114
0.000 3.379 1.843
2.158 1.715 5.039
0.000 0.000 0.000
0.000 2.959 7.110
0.000 0.295 2.963
2.158 4.799 3.919
2.158 2.135 -0.228
```

The density of states at the Fermi level is 27.0 states/eV per cell. The total magnetic moment is 1.234 μB per atom. As for the energy of formation from the pure elements: -0.3919 eV/atom.



[6]
## NpGe2Pt5 (PBE)

Data for a relaxed NpGe2Pt5 crystal.

POSCAR file:
```
NpGe2Pt5
1.0
3.949 0.000 0.000
1.975 6.144 0.027
1.975 1.874 5.851
Np Pt Ge
1 5 2
Cartesian
0.000 0.000 0.000
1.975 4.009 2.939
3.949 2.019 3.270
3.949 5.998 2.607
3.949 3.726 0.942
3.949 4.291 4.936
5.924 6.026 4.418
1.975 1.991 1.460
```

The density of states at the Fermi level is 11.2 states/eV per cell. The total magnetic moment is 0.518 μB per atom. As for the energy of formation from the pure elements: -0.4798 eV/atom.



[7]
## Np2Ge3Pt5 (PBE)

Data for a relaxed Np2Ge3Pt5 crystal.

POSCAR file:
```
Np2Ge3Pt5
1.0
5.732 0.000 0.000
2.866 8.063 -0.609
2.866 0.642 8.061
Pt Ge Np
10 6 4
Cartesian
7.165 4.353 3.726
4.299 2.016 1.726
8.598 7.700 1.607
7.165 6.689 5.726
5.732 2.775 7.360
5.732 5.930 0.091
1.433 2.016 1.726
4.299 4.353 3.726
2.866 1.005 5.845
10.031 6.689 5.726
5.732 4.077 1.675
1.433 0.000 0.000
5.732 4.629 5.777
2.866 2.284 3.770
8.598 6.422 3.682
4.299 0.000 0.000
5.732 7.245 2.671
8.598 3.756 6.746
2.866 4.949 0.705
5.732 1.460 4.781
```

The density of states at the Fermi level is 40.0 states/eV per cell. For the energy above the most stable polymorph in this dataset, the calculation gives 0.000 eV/atom. The total magnetic moment is 0.793 μB per atom. As for the energy of formation from the pure elements: -0.5441 eV/atom.



[8]
## NpGePt (PBE)

Data for a relaxed NpGePt crystal.

POSCAR file:
```
NpGePt
1.0
-3.923 2.040 -0.096
-2.549 0.128 5.029
0.401 5.593 0.596
Pt Ge Np
2 2 2
Cartesian
-0.899 3.102 0.773
-4.069 6.702 3.100
-2.635 4.700 3.817
-3.335 3.248 1.561
-1.629 1.833 3.646
-1.853 6.071 0.989
```

The density of states at the Fermi level is 17.7 states/eV per cell. The total magnetic moment is 1.336 μB per atom. As for the energy of formation from the pure elements: -0.5731 eV/atom.



[9]
## Np2Ge3Pt2 (PBE)

Data for a relaxed Np2Ge3Pt2 crystal.

POSCAR file:
```
Np2Ge3Pt2
1.0
4.259 0.000 0.000
-2.130 4.985 0.263
0.000 -2.302 6.377
Np Pt Ge
2 2 3
Cartesian
0.000 -0.276 5.210
2.130 2.959 1.430
0.000 0.836 1.734
2.130 1.848 4.906
2.130 0.000 0.000
2.130 0.075 2.942
0.000 2.608 3.698
```

The density of states at the Fermi level is 18.7 states/eV per cell. For the energy above the most stable polymorph in this dataset, the calculation gives 0.057 eV/atom. The total magnetic moment is 1.087 μB per atom. As for the energy of formation from the pure elements: -0.3682 eV/atom.



[10]
## Np2GePt9 (PBE)

Data for a relaxed Np2GePt9 crystal.

POSCAR file:
```
Np2GePt9
1.0
4.116 0.000 0.000
0.000 4.116 0.000
0.000 0.000 12.202
Pt Np Ge
9 2 1
Cartesian
0.000 2.058 10.286
0.000 2.058 6.101
2.058 2.058 3.975
2.058 2.058 8.227
0.000 2.058 1.916
2.058 0.000 6.101
2.058 0.000 1.916
2.058 0.000 10.286
2.058 2.058 0.000
0.000 0.000 4.012
0.000 0.000 8.190
0.000 0.000 0.000
```

The density of states at the Fermi level is 24.9 states/eV per cell. The total magnetic moment is 0.522 μB per atom. As for the energy of formation from the pure elements: -0.4676 eV/atom.



[11]
## NpGePt (PBE)

Data for a relaxed NpGePt crystal.

POSCAR file:
```
NpGePt
1.0
-3.317 0.882 -0.445
-1.266 -3.574 2.355
0.754 3.883 2.069
Ge Pt Np
1 1 1
Cartesian
-0.472 1.544 2.090
-0.553 0.147 -0.074
-2.804 -0.501 1.962
```

The density of states at the Fermi level is 9.9 states/eV per cell. The total magnetic moment is 1.278 μB per atom. As for the energy of formation from the pure elements: -0.5422 eV/atom.



[12]
## Np4Ge6Pt5 (PBE)

Data for a relaxed Np4Ge6Pt5 crystal.

POSCAR file:
```
Np4Ge6Pt5
1.0
4.211 0.000 0.000
-2.105 9.542 0.000
0.000 0.000 14.914
Pt Np Ge
10 8 12
Cartesian
2.105 3.611 1.766
2.105 6.662 1.913
0.000 6.492 4.151
2.105 0.911 2.686
2.105 3.049 11.608
0.000 8.630 10.143
0.000 6.721 14.625
0.000 2.879 9.370
0.000 5.931 9.223
2.105 2.821 7.168
0.000 0.275 7.480
0.000 0.601 11.481
2.105 6.495 12.042
2.105 9.266 0.023
2.105 8.941 4.025
0.000 3.399 13.920
2.105 6.143 6.463
0.000 3.046 4.585
2.105 7.378 9.125
2.105 5.015 3.779
0.000 4.526 11.236
2.105 1.397 13.595
0.000 8.145 6.138
0.000 4.293 7.314
0.000 2.164 1.668
2.105 5.249 14.771
2.105 1.530 9.405
0.000 8.011 1.949
0.000 8.448 12.822
2.105 1.094 5.365
```

The density of states at the Fermi level is 74.3 states/eV per cell. The total magnetic moment is 1.032 μB per atom. As for the energy of formation from the pure elements: -0.4077 eV/atom.



> Which of these has the highest total magnetic moment?

number 8



> Among the records above, which one has the highest energy of formation from the pure elements?

Np4Ge12Pt



> The lowest energy of formation from the pure elements belongs to which entry?

NpGePt3



> Among the records above, which one has the highest total magnetic moment?

number 8